No. 1
{"formula": "SmBC", "functional": "PBE-GGA", "state": "optimized geometry", "total_magnetization_mub_per_fu": 0.00, "e_form_kj_per_mol_atoms": 40.49, "rho_g_cm3": 7.3, "cell": [[3.0477, 0.0000, 0.0000], [-1.5239, 2.6394, 0.0000], [0.0000, 0.0000, 9.8489]], "species": ["Sm", "Sm", "B", "B", "C", "C"], "frac_coords": [[0.3333, 0.6667, 0.1864], [0.6667, 0.3333, 0.8136], [0.3333, 0.6667, 0.4359], [0.6667, 0.3333, 0.5641], [0.3333, 0.6667, 0.6088], [0.6667, 0.3333, 0.3912]]}

---

No. 2
{"formula": "Er4Pd12Pt", "functional": "PBE-GGA", "state": "optimized geometry", "total_magnetization_mub_per_fu": 0.00, "e_form_kj_per_mol_atoms": -73.74, "rho_g_cm3": 11.6, "cell": [[-4.2466, 4.2466, 4.2466], [4.2466, -4.2466, 4.2466], [4.2466, 4.2466, -4.2466]], "species": ["Er", "Er", "Er", "Er", "Pd", "Pd", "Pd", "Pd", "Pd", "Pd", "Pd", "Pd", "Pd", "Pd", "Pd", "Pd", "Pt"], "frac_coords": [[0.0000, 0.0000, 0.5000], [0.0000, 0.5000, 0.0000], [0.5000, 0.0000, 0.0000], [0.5000, 0.5000, 0.5000], [0.0000, 0.3011, 0.3011], [0.0000, 0.6989, 0.6989], [0.2500, 0.5000, 0.7500], [0.2500, 0.7500, 0.5000], [0.3011, 0.0000, 0.3011], [0.3011, 0.3011, 0.0000], [0.5000, 0.2500, 0.7500], [0.5000, 0.7500, 0.2500], [0.6989, 0.0000, 0.6989], [0.6989, 0.6989, 0.0000], [0.7500, 0.2500, 0.5000], [0.7500, 0.5000, 0.2500], [0.0000, 0.0000, 0.0000]]}

---

No. 3
{"formula": "IrS2N2", "functional": "PBE-GGA", "state": "optimized geometry", "formation_energy_uncorrected_kj_per_mol_atoms": 162.5, "total_magnetization_mub_per_fu": 0.85, "rho_g_cm3": 5.5, "cell": [[4.8662, 0.0000, 0.0000], [0.0000, 4.8662, 0.0000], [0.0000, 0.0000, 3.6576]], "species": ["Ir", "S", "S", "N", "N"], "frac_coords": [[0.0000, 0.0000, 0.0000], [0.0000, 0.5000, 0.0000], [0.5000, 0.0000, 0.0000], [0.0000, 0.0000, 0.5000], [0.5000, 0.5000, 0.5000]]}

---

No. 4
{"formula": "MnGaSiRhSe", "functional": "PBE-GGA", "state": "optimized geometry", "formation_energy_uncorrected_kj_per_mol_atoms": -18.8, "total_magnetization_mub_per_fu": 2.90, "rho_g_cm3": 6.6, "cell": [[3.5679, 0.0000, 0.0000], [0.0000, 3.6362, 0.0000], [0.0000, 0.0000, 6.4932]], "species": ["Mn", "Ga", "Si", "Rh", "Se"], "frac_coords": [[0.0000, 0.0000, 0.0000], [0.5000, 0.5000, 0.0140], [0.0000, 0.5000, 0.3034], [0.5000, 0.0000, 0.3337], [0.5000, 0.0000, 0.7233]]}

---

No. 5
{"formula": "HoCd3Hg3", "functional": "PBE-GGA", "state": "optimized geometry", "total_magnetization_mub_per_fu": 0.00, "e_form_kj_per_mol_atoms": 7.72, "rho_g_cm3": 8.8, "cell": [[5.9380, 0.0000, 0.0000], [0.0000, 5.9380, 0.0000], [0.0000, 0.0000, 5.9380]], "species": ["Ho", "Cd", "Cd", "Cd", "Hg", "Hg", "Hg"], "frac_coords": [[0.0000, 0.0000, 0.0000], [0.0000, 0.5000, 0.5000], [0.5000, 0.0000, 0.5000], [0.5000, 0.5000, 0.0000], [0.0000, 0.0000, 0.5000], [0.0000, 0.5000, 0.0000], [0.5000, 0.0000, 0.0000]]}

---

No. 6
{"formula": "Li2CoNi2", "functional": "PBE-GGA", "state": "optimized geometry", "total_magnetization_mub_per_fu": 2.33, "e_form_kj_per_mol_atoms": 29.59, "rho_g_cm3": 5.5, "cell": [[6.5921, 0.0000, 0.0000], [0.0000, 6.5921, 0.0000], [0.0000, 0.0000, 2.6228]], "species": ["Li", "Li", "Li", "Li", "Co", "Co", "Ni", "Ni", "Ni", "Ni"], "frac_coords": [[0.1684, 0.3316, 0.0000], [0.3316, 0.8316, 0.0000], [0.6684, 0.1684, 0.0000], [0.8316, 0.6684, 0.0000], [0.0000, 0.0000, 0.5000], [0.5000, 0.5000, 0.5000], [0.1312, 0.6312, 0.5000], [0.3688, 0.1312, 0.5000], [0.6312, 0.8688, 0.5000], [0.8688, 0.3688, 0.5000]]}

---

No. 7
{"formula": "AsPOs2I", "functional": "PBE-GGA", "state": "optimized geometry", "formation_energy_uncorrected_kj_per_mol_atoms": 193.4, "total_magnetization_mub_per_fu": 2.42, "rho_g_cm3": 8.2, "cell": [[4.5554, 0.0000, 0.0000], [0.0000, 4.5554, 0.0000], [0.0000, 0.0000, 5.9853]], "species": ["As", "P", "Os", "Os", "I"], "frac_coords": [[0.0000, 0.0000, 0.0000], [0.5000, 0.5000, 0.5000], [0.0000, 0.5000, 0.0000], [0.5000, 0.0000, 0.0000], [0.0000, 0.0000, 0.5000]]}

---

No. 8
{"formula": "Tc2SbW", "functional": "PBE-GGA", "state": "optimized geometry", "formation_energy_uncorrected_kj_per_mol_atoms": 30.1, "total_magnetization_mub_per_fu": 0.00, "rho_g_cm3": 12.8, "cell": [[-1.9254, 1.9254, 4.3878], [1.9254, -1.9254, 4.3878], [1.9254, 1.9254, -4.3878]], "species": ["Tc", "Tc", "Sb", "W"], "frac_coords": [[0.0000, 0.0000, 0.0000], [0.7500, 0.2500, 0.5000], [0.5000, 0.5000, 0.0000], [0.2500, 0.7500, 0.5000]]}

---

What did the second record say?
{"formula": "Er4Pd12Pt", "functional": "PBE-GGA", "state": "optimized geometry", "total_magnetization_mub_per_fu": 0.00, "e_form_kj_per_mol_atoms": -73.74, "rho_g_cm3": 11.6, "cell": [[-4.2466, 4.2466, 4.2466], [4.2466, -4.2466, 4.2466], [4.2466, 4.2466, -4.2466]], "species": ["Er", "Er", "Er", "Er", "Pd", "Pd", "Pd", "Pd", "Pd", "Pd", "Pd", "Pd", "Pd", "Pd", "Pd", "Pd", "Pt"], "frac_coords": [[0.0000, 0.0000, 0.5000], [0.0000, 0.5000, 0.0000], [0.5000, 0.0000, 0.0000], [0.5000, 0.5000, 0.5000], [0.0000, 0.3011, 0.3011], [0.0000, 0.6989, 0.6989], [0.2500, 0.5000, 0.7500], [0.2500, 0.7500, 0.5000], [0.3011, 0.0000, 0.3011], [0.3011, 0.3011, 0.0000], [0.5000, 0.2500, 0.7500], [0.5000, 0.7500, 0.2500], [0.6989, 0.0000, 0.6989], [0.6989, 0.6989, 0.0000], [0.7500, 0.2500, 0.5000], [0.7500, 0.5000, 0.2500], [0.0000, 0.0000, 0.0000]]}